# KTbBr3

Crystalline KTbBr3 at its relaxed geometry (PBE-GGA, Alexandria).

a b c (Å): 5.6595 5.6595 5.6595
angles (deg): 90.00 90.00 90.00
Sites, in units of the cell vectors:
K 0.5000 0.5000 0.5000
Tb 0.0000 0.0000 0.0000
Br 0.0000 0.5000 0.0000
Br 0.0000 0.0000 0.5000
Br 0.5000 0.0000 0.0000

The calculation puts the total moment at 0.01 μB/f.u. The value obtained for the total energy is -18.4 eV for the cell shown. Its density of states at the Fermi level is 3.50 states/eV/cell. The volume comes out at 36.3 A^3/atom.

# PS2ClF

Crystalline PS2ClF at its relaxed geometry (PBE-GGA, Alexandria).

a b c (Å): 5.4220 5.4220 3.6800
angles (deg): 90.00 90.00 90.00
Last column: magnetic moment on the atom in μB.
Sites, in units of the cell vectors:
P 0.0000 0.0000 0.5000  -0.31
S 0.0000 0.5000 0.0000  0.99
S 0.5000 0.0000 0.0000  0.99
F 0.0000 0.0000 0.0000  0.01
Cl 0.5000 0.5000 0.5000  0.48

The calculation puts the total moment at 3.01 μB/f.u. The calculation puts the relative energy among the computed polymorphs at 553 meV per atom. Its density of states at the Fermi level is 3.22 states/eV/cell. The volume comes out at 21.6 A^3/atom.

# NdDy3Y12

Crystalline NdDy3Y12 at its relaxed geometry (PBE-GGA, Alexandria).

a b c (Å): 5.0538 5.0538 20.2089
angles (deg): 90.00 90.00 90.00
Sites, in units of the cell vectors:
Nd 0.0000 0.0000 0.0000
Dy 0.0000 0.0000 0.2509
Dy 0.0000 0.0000 0.5000
Dy 0.0000 0.0000 0.7491
Y 0.5000 0.5000 0.0000
Y 0.5000 0.5000 0.2514
Y 0.5000 0.5000 0.5000
Y 0.5000 0.5000 0.7486
Y 0.5000 0.0000 0.1266
Y 0.5000 0.0000 0.3755
Y 0.5000 0.0000 0.6245
Y 0.5000 0.0000 0.8734
Y 0.0000 0.5000 0.1266
Y 0.0000 0.5000 0.3755
Y 0.0000 0.5000 0.6245
Y 0.0000 0.5000 0.8734

The calculation puts the total moment at 0.00 μB/f.u. The value obtained for the total energy is -95.8 eV for the cell shown. Its density of states at the Fermi level is 22.51 states/eV/cell. The volume comes out at 32.3 A^3/atom.

# CoIrN

Crystalline CoIrN at its relaxed geometry (PBE-GGA, Alexandria).

a b c (Å): 4.8374 2.7514 4.9401
angles (deg): 90.00 102.28 90.00
Sites, in units of the cell vectors:
Co 0.8421 0.0000 0.3225
Co 0.8421 0.5000 0.8225
Ir 0.3060 0.0000 0.0802
Ir 0.3060 0.5000 0.5802
N 0.6549 0.0000 0.6072
N 0.6549 0.5000 0.1072

The calculation puts the total moment at 0.00 μB/f.u. The calculation puts the relative energy among the computed polymorphs at 143 meV per atom. Its density of states at the Fermi level is 2.59 states/eV/cell. The volume comes out at 10.7 A^3/atom.

# LaAl2CoCu

Crystalline LaAl2CoCu at its relaxed geometry (PBE-GGA, Alexandria).

a b c (Å): 4.5244 4.7816 4.5244
angles (deg): 90.00 90.00 90.00
Last column: magnetic moment on the atom in μB.
Sites, in units of the cell vectors:
Co 0.0000 0.5000 0.0000  1.34
Al 0.0000 0.0000 0.5000  0.00
Al 0.5000 0.0000 0.0000  0.00
Cu 0.0000 0.0000 0.0000  -0.01
La 0.5000 0.5000 0.5000  -0.10

The calculation puts the total moment at 1.05 μB/f.u. The value obtained for the total energy is -23.3 eV for the cell shown. Its density of states at the Fermi level is 4.95 states/eV/cell. The volume comes out at 19.6 A^3/atom.

# YMnP2

Crystalline YMnP2 at its relaxed geometry (PBE-GGA, Alexandria).

a b c (Å): 4.7089 4.7089 4.7089
angles (deg): 130.03 107.44 93.27
Last column: magnetic moment on the atom in μB.
Sites, in units of the cell vectors:
Mn 0.2500 0.7500 0.5000  2.82
P 0.0593 0.0593 0.0000  -0.02
P 0.4407 0.4407 0.0000  -0.02
Y 0.7500 0.2500 0.5000  -0.05

The calculation puts the total moment at 2.89 μB/f.u. The calculation puts the relative energy among the computed polymorphs at 192 meV per atom. Its density of states at the Fermi level is 2.95 states/eV/cell. The volume comes out at 17.9 A^3/atom.